Record 1
VASP calculation (GGA-PBE) on LiAcCuIr after structural relaxation.

Computed properties:
* E_form: -0.0765 eV per atom
* crystal system: cubic

```
4
Lattice="-3.713 -2.466 -2.064 -3.494 -1.992 2.820 -4.526 1.908 0.018" Properties=species:S:1:pos:R:3 pbc="T T T"
Ac -5.866 -1.275 0.387
Ir -8.800 -1.912 0.580
Cu -2.933 -0.637 0.193
Li 0.000 0.000 0.000
```

=====

Record 2
VASP calculation (GGA-PBE) on Li3Ac2Cu12Ir after structural relaxation.

Computed properties:
* E_form: 0.1034 eV per atom
* crystal system: trigonal

```
18
Lattice="-8.548 0.648 6.067 -3.967 -0.140 9.723 -5.113 5.233 7.534" Properties=species:S:1:pos:R:3 pbc="T T T"
Cu -13.450 2.347 17.359
Cu -8.277 1.250 10.641
Cu -14.103 5.410 16.111
Cu -4.178 3.395 5.966
Cu -11.492 4.961 18.195
Cu -6.136 0.781 5.130
Cu -8.886 2.314 13.571
Cu -6.885 3.108 11.235
Cu -9.350 4.491 12.684
Cu -10.742 2.633 12.090
Cu -3.524 0.332 7.214
Cu -8.742 3.427 9.754
Ac -6.253 2.036 8.274
Ac -11.375 3.705 15.051
Li -2.557 2.617 3.767
Li -1.983 -0.070 4.862
Li -4.274 0.324 3.034
Ir 0.000 0.000 0.000
```

=====

Record 3
VASP calculation (GGA-PBE) on AcMgCu2Ir after structural relaxation.

Computed properties:
* E_form: -0.2715 eV per atom
* crystal system: orthorhombic

```
5
Lattice="4.076 0.000 0.000 0.000 4.187 0.000 -2.038 -2.094 5.890" Properties=species:S:1:pos:R:3 pbc="T T T"
Ir 2.038 2.094 4.013
Ac 0.000 0.000 5.053
Mg 0.000 2.094 2.253
Cu 0.000 0.000 0.667
Cu 2.038 0.000 2.293
```

=====

Record 4
VASP calculation (GGA-PBE) on AcCuIrO5 after structural relaxation.

Computed properties:
* crystal system: monoclinic
* formation energy from raw total energies: -148.0 kJ per mole of atoms

```
16
Lattice="-4.073 -0.784 -4.034 0.647 -4.612 3.433 -3.575 4.377 4.504" Properties=species:S:1:pos:R:3 pbc="T T T"
O -5.495 0.239 4.290
O -0.606 -3.227 3.990
O -3.812 -1.643 -2.275
O -2.678 -1.825 4.599
O -4.235 -1.521 1.203
O -2.766 0.502 2.700
O -1.506 -1.258 -0.387
O -3.189 0.624 6.177
O -4.323 0.805 -0.696
O -6.395 2.207 -0.088
Ir -1.788 2.188 2.252
Ir 0.000 0.000 0.000
Ac -5.124 1.176 1.923
Ac -1.877 -2.196 1.980
Cu -3.528 -0.118 4.448
Cu -3.473 -0.901 -0.545
```

=====

Record 5
VASP calculation (GGA-PBE) on AcCuPIr6 after structural relaxation.

Computed properties:
* E_form: 0.2081 eV per atom
* crystal system: orthorhombic

```
18
Lattice="-3.152 0.154 -5.097 -6.201 -5.869 3.657 1.581 7.406 2.771" Properties=species:S:1:pos:R:3 pbc="T T T"
Ir -4.684 0.225 4.761
Ir -3.533 -0.793 -1.365
Ir -6.476 -1.741 -1.432
Ir -5.180 -3.623 3.094
Ir -1.426 1.385 -0.744
Ir -6.346 0.306 2.074
Ir -4.815 -1.822 1.255
Ir -2.957 3.513 0.076
Ir -2.591 5.314 -1.763
Ir -4.239 2.483 2.696
Ir -3.087 1.466 -3.431
Ir -1.295 3.432 2.763
Cu 0.791 3.703 1.386
Cu -0.785 3.780 -1.163
Ac -2.627 0.115 1.628
Ac -5.144 1.575 -0.297
P -1.576 0.077 -2.549
P -4.676 -2.857 -0.720
```

=====

Record 6
VASP calculation (GGA-PBE) on AcPrCuIr after structural relaxation.

Computed properties:
* energy above the most stable polymorph in this dataset: 0.0000 eV/atom
* E_form: -0.4067 eV per atom
* crystal system: orthorhombic

```
4
Lattice="4.101 0.000 0.000 0.000 4.550 0.000 -2.050 0.000 5.489" Properties=species:S:1:pos:R:3 pbc="T T T"
Ir 0.000 0.000 4.655
Ac 0.000 0.000 1.551
Pr 2.050 2.275 4.013
Cu 2.050 2.275 0.759
```